[1]
Compound: Mg2TaCo
Source: Alexandria via LeMat-Bulk
Functional: PBE
Structure: relaxed

a b c (Å): 5.310 9.229 2.749
angles (deg): 90.00 90.00 90.00
Space group Cmmm (No. 65)
One atom of each set of equivalent atoms:
Mg  0.250  0.250  0.000 (multiplicity 4)
Ta  0.000  0.000  0.500 (multiplicity 2)
Co  0.000  0.500  0.500 (multiplicity 2)

## Properties
Its relative energy among the computed polymorphs is 351 meV per atom. The formation energy comes out at 380 meV per atom.


[2]
Compound: K2BaMg
Source: Alexandria via LeMat-Bulk
Functional: PBE
Structure: relaxed

a b c (Å): 9.384 9.384 9.384
angles (deg): 90.00 90.00 90.00
Space group Fm-3m (No. 225)
One atom of each set of equivalent atoms:
K  0.250  0.250  0.250 (multiplicity 8)
Ba  0.000  0.000  0.000 (multiplicity 4)
Mg  0.000  0.000  0.500 (multiplicity 4)

## Properties
Its relative energy among the computed polymorphs is 179 meV per atom. The formation energy comes out at 243 meV per atom.


[3]
Compound: Nd3PuCl2O6
Source: Alexandria via LeMat-Bulk
Functional: PBE
Structure: relaxed

a b c (Å): 12.443 6.963 5.549
angles (deg): 90.00 100.55 90.00
Space group C2/m (No. 12)
One atom of each set of equivalent atoms:
Nd  0.000  0.000  0.000 (multiplicity 2)
Nd  0.250  0.250  0.500 (multiplicity 4)
Pu  0.000  0.500  0.500 (multiplicity 2)
Cl  0.203  0.000  0.857 (multiplicity 4)
O  0.065  0.255  0.297 (multiplicity 8)
O  0.165  0.500  0.664 (multiplicity 4)

## Properties
For the electronic total energy, the calculation gives -7.890 eV per atom.


[4]
Compound: Ac3Zr5Se12
Source: Alexandria via LeMat-Bulk
Functional: PBE
Structure: relaxed

a b c (Å): 16.841 16.841 16.841
angles (deg): 90.00 90.00 90.00
Space group Ia-3d (No. 230)
One atom of each set of equivalent atoms:
Ac  0.000  0.250  0.125 (multiplicity 24)
Zr  0.000  0.000  0.000 (multiplicity 16)
Zr  0.000  0.250  0.375 (multiplicity 24)
Se  0.029  0.061  0.649 (multiplicity 96)

## Properties
For the electronic total energy, the calculation gives -6.223 eV per atom.